Entry 1:
VASP calculation (PBE) on a geometry-optimized Cs5Li2Cl6 structure.

Unit cell a=4.637 b=14.346 c=17.088 alpha=90.00 beta=90.00 gamma=90.00
Fractional positions:
1 Cs 0.500 0.376 0.449
2 Cs 0.500 0.624 0.551
3 Cs 0.500 0.876 0.051
4 Cs 0.500 0.124 0.949
5 Cs 0.500 0.697 0.291
6 Cs 0.500 0.303 0.709
7 Cs 0.500 0.197 0.209
8 Cs 0.500 0.803 0.791
9 Cs 0.500 0.500 0.000
10 Cs 0.500 0.000 0.500
11 Li 0.000 0.449 0.273
12 Li 0.000 0.551 0.727
13 Li 0.000 0.949 0.227
14 Li 0.000 0.051 0.773
15 Cl 0.000 0.294 0.326
16 Cl 0.000 0.706 0.674
17 Cl 0.000 0.794 0.174
18 Cl 0.000 0.206 0.826
19 Cl 0.500 0.467 0.214
20 Cl 0.500 0.533 0.786
21 Cl 0.500 0.967 0.286
22 Cl 0.500 0.033 0.714
23 Cl 0.000 0.554 0.389
24 Cl 0.000 0.446 0.611
25 Cl 0.000 0.054 0.111
26 Cl 0.000 0.946 0.889

***

Entry 2:
VASP calculation (PBE) on a geometry-optimized CsLi3Cl4 structure.

Unit cell a=16.238 b=16.238 c=5.305 alpha=90.00 beta=90.00 gamma=164.11
Fractional positions:
1 Cl 0.065 0.935 0.750
2 Cl 0.935 0.065 0.250
3 Cl 0.242 0.758 0.750
4 Cl 0.758 0.242 0.250
5 Cl 0.849 0.151 0.750
6 Cl 0.151 0.849 0.250
7 Cl 0.458 0.542 0.750
8 Cl 0.542 0.458 0.250
9 Cs 0.653 0.347 0.750
10 Cs 0.347 0.653 0.250
11 Li 0.774 0.226 0.750
12 Li 0.226 0.774 0.250
13 Li 0.533 0.467 0.750
14 Li 0.467 0.533 0.250
15 Li 0.926 0.074 0.750
16 Li 0.074 0.926 0.250

***

Calculated formation energy (no corrections), -165 -178 kJ per mole of atoms (same order as the records).